Compound: Tl2Zn2Pt
Source: the Alexandria database
Functional: PBE
Structure: relaxed

a b c (Å): 4.1082 4.1082 7.2683
angles (deg): 73.58 73.58 90.00
Atoms (fractional coordinates):
Tl  0.7500  0.2500  0.5000
Tl  0.2500  0.7500  0.5000
Zn  0.4133  0.4133  0.1733
Zn  0.5867  0.5867  0.8267
Pt  0.0000  0.0000  0.0000

- crystal system = tetragonal
- spin magnetization (μB/cell) = 0.000
- E_form (eV per atom) = 0.499

---

Compound: BiTePd
Source: the Alexandria database
Functional: PBE
Structure: relaxed

a b c (Å): 6.7597 6.7597 6.7597
angles (deg): 90.00 90.00 90.00
Atoms (fractional coordinates):
Bi  0.3687  0.3687  0.3687
Bi  0.1313  0.6313  0.8687
Bi  0.8687  0.1313  0.6313
Bi  0.6313  0.8687  0.1313
Te  0.6260  0.6260  0.6260
Te  0.8740  0.3740  0.1260
Te  0.1260  0.8740  0.3740
Te  0.3740  0.1260  0.8740
Pd  0.0048  0.0048  0.0048
Pd  0.4952  0.9952  0.5048
Pd  0.5048  0.4952  0.9952
Pd  0.9952  0.5048  0.4952

- uncorrected formation energy (eV per atom) = -0.34
- crystal system = cubic
- spin magnetization (μB/cell) = 0.000

---

Compound: LaYCo2W
Source: the Alexandria database
Functional: PBE
Structure: relaxed

a b c (Å): 4.4823 5.3249 4.4823
angles (deg): 90.00 90.00 90.00
Last column: magnetic moment on the atom in μB.
Atoms (fractional coordinates):
Y  0.0000  0.5000  0.0000  -0.03
Co  0.0000  0.0000  0.5000  0.47
Co  0.5000  0.0000  0.0000  0.49
W  0.5000  0.5000  0.5000  1.65
La  0.0000  0.0000  0.0000  -0.13

- crystal system = tetragonal
- spin magnetization (μB/cell) = 2.894
- E_form (eV per atom) = 1.808

---

Compound: Pr7Ni2Hg2
Source: the Alexandria database
Functional: PBE
Structure: relaxed

a b c (Å): 7.0471 7.2574 7.0471
angles (deg): 90.00 110.13 90.00
Atoms (fractional coordinates):
Pr  0.9998  0.2499  0.5003
Pr  0.5003  0.7501  0.9998
Pr  0.0002  0.7501  0.4997
Pr  0.4997  0.2499  0.0002
Pr  0.0000  0.0000  0.0000
Pr  0.5002  0.7608  0.4998
Pr  0.4998  0.2392  0.5002
Ni  0.7019  0.0000  0.2981
Ni  0.2981  0.0000  0.7019
Hg  0.8226  0.5000  0.8226
Hg  0.1774  0.5000  0.1774

- crystal system = orthorhombic
- spin magnetization (μB/cell) = 0.000
- E_form (eV per atom) = -0.167

---

Compound: Pu3Br
Source: the Alexandria database
Functional: PBE
Structure: relaxed

a b c (Å): 4.7110 4.7110 4.7110
angles (deg): 90.00 90.00 90.00
Last column: magnetic moment on the atom in μB.
Atoms (fractional coordinates):
Pu  0.0000  0.5000  0.5000  5.78
Pu  0.5000  0.0000  0.5000  5.78
Pu  0.5000  0.5000  0.0000  5.78
Br  0.0000  0.0000  0.0000  0.02

- uncorrected formation energy (eV per atom) = 0.12
- crystal system = cubic
- spin magnetization (μB/cell) = 18.675

---

Compound: Sm6YHo12
Source: the Alexandria database
Functional: PBE
Structure: relaxed

a b c (Å): 8.6965 8.6965 8.6965
angles (deg): 98.61 98.61 98.61
Atoms (fractional coordinates):
Sm  0.9025  0.3438  0.9025
Sm  0.9025  0.9025  0.3438
Sm  0.3438  0.9025  0.9025
Sm  0.0975  0.0975  0.6562
Sm  0.0975  0.6562  0.0975
Sm  0.6562  0.0975  0.0975
Y  0.0000  0.0000  0.0000
Ho  0.7578  0.2422  0.5000
Ho  0.3557  0.0828  0.3557
Ho  0.3557  0.3557  0.0828
Ho  0.9172  0.6443  0.6443
Ho  0.6443  0.6443  0.9172
Ho  0.6443  0.9172  0.6443
Ho  0.5000  0.7578  0.2422
Ho  0.2422  0.5000  0.7578
Ho  0.2422  0.7578  0.5000
Ho  0.5000  0.2422  0.7578
Ho  0.7578  0.5000  0.2422
Ho  0.0828  0.3557  0.3557

- crystal system = trigonal
- spin magnetization (μB/cell) = 0.000
- E_form (eV per atom) = 0.216

---

Compound: HClF6
Source: the Alexandria database
Functional: PBE
Structure: relaxed

a b c (Å): 12.0514 17.2528 5.4191
angles (deg): 26.60 84.98 59.27
Atoms (fractional coordinates):
H  0.5000  0.0000  0.0000
Cl  0.0000  0.0000  0.0000
F  0.3541  0.6328  0.8735
F  0.4349  0.9602  0.2012
F  0.5651  0.0398  0.7988
F  0.6459  0.3672  0.1265
F  0.1237  0.6957  0.5769
F  0.8763  0.3043  0.4231

- crystal system = triclinic
- spin magnetization (μB/cell) = 0.000
- total DFT energy (no corrections) (eV for the cell shown) = -22.39